A geometry-optimized Ta3InAg structure, computed with PBE.

Geometry as POSCAR:
```
Ta3InAg
1.0
5.0026 0.0000 0.0000
0.0000 5.0026 0.0000
0.0000 0.0000 5.0026
Ta In Ag
3 1 1
direct
0.0000 0.0000 0.5000 Ta
0.0000 0.5000 0.0000 Ta
0.5000 0.0000 0.0000 Ta
0.0000 0.0000 0.0000 In
0.5000 0.5000 0.5000 Ag
```

Its formation energy is 2.203 eV per atom. For the total energy, the calculation gives -6.027 eV per atom. Its size of the total moment is 0.99 μB/f.u. The density is 10.2 g/cm³.